[1]
Compound: HfBe3Tl
Source: the Alexandria database
Functional: GGA-PBE
Structure: optimized geometry

Values from the calculation:
The energy of formation from the pure elements comes out at 1595 meV per atom. The calculation puts the size of the total moment at 0.00 μB per formula unit. The value obtained for the energy relative to the lowest polymorph listed for this composition is 376 meV per atom.

POSCAR file:
```
HfBe3Tl
1.0
4.8500 0.0000 0.0000
0.0000 4.8500 0.0000
0.0000 0.0000 4.8500
Tl Hf Be
1 1 3
Direct
0.5000 0.5000 0.5000
0.0000 0.0000 0.0000
0.0000 0.0000 0.5000
0.0000 0.5000 0.0000
0.5000 0.0000 0.0000
```

[2]
Compound: Pm4Tl2Ag
Source: the Alexandria database
Functional: GGA-PBE
Structure: optimized geometry

Values from the calculation:
The energy of formation from the pure elements comes out at -205 meV per atom. The calculation puts the size of the total moment at 0.98 μB per formula unit.

POSCAR file:
```
Pm4Tl2Ag
1.0
-1.7740 -1.0746 -4.9545
-3.8363 -3.6860 -0.7383
-7.9540 4.5764 -1.0560
Pm Tl Ag
4 2 1
Direct
0.8748 0.8748 0.3756
0.3760 0.3760 0.8721
0.1252 0.1252 0.6244
0.6240 0.6240 0.1279
0.7512 0.7512 0.7463
0.2488 0.2488 0.2537
0.0000 0.0000 0.0000
```

[3]
Compound: ThSc2Hg
Source: the Alexandria database
Functional: GGA-PBE
Structure: optimized geometry

Values from the calculation:
The energy of formation from the pure elements comes out at -128 meV per atom. The calculation puts the size of the total moment at 0.00 μB per formula unit. The value obtained for the energy relative to the lowest polymorph listed for this composition is 111 meV per atom.

POSCAR file:
```
ThSc2Hg
1.0
3.4493 0.0000 0.0000
1.7247 2.9872 0.0000
1.7247 0.9957 9.9706
Hg Sc Th
1 2 1
Direct
0.0000 0.0000 0.0000
0.2565 0.2565 0.2304
0.7435 0.7435 0.7696
0.5000 0.5000 0.5000
```